# 1
VASP calculation (GGA-PBEsol) on a relaxed structure of Sc2CoPb.

POSCAR file:
```
Sc2CoPb
1.0
3.452 0.000 0.000
1.726 2.990 0.000
1.726 0.997 8.910
Sc Co Pb
2 1 1
direct
0.114 0.114 0.659
0.886 0.886 0.341
0.500 0.500 0.500
0.000 0.000 0.000
```

## Properties
space-group type = R-3m, No. 166
energy of formation from the pure elements = -0.021 eV per atom
total magnetization = 0.00 μB/f.u.

# 2
VASP calculation (GGA-PBEsol) on a relaxed structure of La4Mg.

POSCAR file:
```
La4Mg
1.0
-0.754 4.643 1.673
1.453 0.775 5.954
4.900 3.707 -0.632
Mg La
1 4
direct
0.000 0.000 0.000
0.392 0.806 0.410
0.198 0.410 0.194
0.608 0.194 0.590
0.802 0.590 0.806
```

## Properties
space-group type = I4/m, No. 87
energy of formation from the pure elements = -0.018 eV per atom
E above lowest polymorph = 0.000 eV per atom
total magnetization = 0.00 μB/f.u.

# 3
VASP calculation (GGA-PBEsol) on a relaxed structure of AlCr2Co.

POSCAR file:
```
AlCr2Co
1.0
-0.980 2.521 -1.976
-2.195 -2.034 -1.506
-2.831 1.037 2.726
Co Cr Al
1 2 1
direct
0.000 0.000 0.500
0.000 0.500 0.000
0.500 0.000 0.000
0.500 0.500 0.500
```

## Properties
space-group type = P4/mmm, No. 123
energy of formation from the pure elements = -0.043 eV per atom
total magnetization = 0.00 μB/f.u.

What did the first record say?
VASP calculation (GGA-PBEsol) on a relaxed structure of Sc2CoPb.

POSCAR file:
```
Sc2CoPb
1.0
3.452 0.000 0.000
1.726 2.990 0.000
1.726 0.997 8.910
Sc Co Pb
2 1 1
direct
0.114 0.114 0.659
0.886 0.886 0.341
0.500 0.500 0.500
0.000 0.000 0.000
```

## Properties
space-group type = R-3m, No. 166
energy of formation from the pure elements = -0.021 eV per atom
total magnetization = 0.00 μB/f.u.